[1]
16
Lattice="5.670 0.000 0.000 0.000 7.689 0.000 0.000 0.000 9.078" Properties=species:S:1:pos:R:3 comment="Ba3PbO4, relaxed, DFT PBE-GGA" relative_energy_mev_per_atom=31 dos_at_fermi_per_ev_cell=0.00 formation_energy_uncorrected_ev_per_atom=-2.1321 e_tot_ev_per_cell=-92.73 pbc="T T T"
Ba 3.139 6.508 0.000
Ba 0.302 5.171 2.285
Ba 3.138 2.518 2.254
Ba 0.304 1.181 4.539
Ba 3.138 2.518 6.824
Ba 0.302 5.171 6.793
Pb 0.267 1.337 0.000
Pb 3.102 6.352 4.539
O 0.292 6.549 0.000
O 3.721 1.362 0.000
O 0.284 2.545 2.300
O 3.119 5.144 2.239
O 0.886 6.327 4.539
O 3.127 1.140 4.539
O 3.119 5.144 6.839
O 0.284 2.545 6.778

[2]
4
Lattice="-0.270 -0.268 2.727 2.058 -1.829 0.024 4.392 4.955 0.922" Properties=species:S:1:pos:R:3 comment="CrReBAu, relaxed, DFT PBE-GGA" relative_energy_mev_per_atom=51 dos_at_fermi_per_ev_cell=3.53 e_tot_ev_per_cell=-31.27 pbc="T T T"
Re 5.128 3.728 2.265
B 0.635 0.717 0.133
Au 2.775 3.131 0.583
Cr 2.315 0.554 1.674

[3]
15
Lattice="7.844 0.000 0.000 -3.922 6.792 -0.027 0.000 -4.507 6.326" Properties=species:S:1:pos:R:3 comment="Li3InBi3S8, relaxed, DFT PBE-GGA" dos_at_fermi_per_ev_cell=7.90 formation_energy_uncorrected_ev_per_atom=-0.6320 e_tot_ev_per_cell=-62.62 pbc="T T T"
Li 0.000 0.000 0.000
Li -1.961 3.396 -0.013
Li 1.961 3.396 -0.013
In 0.000 -2.253 3.163
Bi 3.922 -2.253 3.163
Bi 1.961 1.143 3.150
Bi -1.961 1.143 3.150
S 0.000 2.268 1.462
S 3.922 0.017 4.838
S 3.922 2.395 1.573
S 0.000 -0.110 4.727
S 2.071 5.601 1.560
S 1.851 -3.316 4.740
S -2.071 5.601 1.560
S 5.993 -3.316 4.740

[4]
10
Lattice="7.305 -0.837 -0.624 2.158 7.029 -0.624 2.158 1.412 6.914" Properties=species:S:1:pos:R:3 comment="RbSbTe3, relaxed, DFT PBE-GGA" relative_energy_mev_per_atom=137 dos_at_fermi_per_ev_cell=6.36 formation_energy_uncorrected_ev_per_atom=-0.2427 e_tot_ev_per_cell=-31.46 pbc="T T T"
Rb 8.778 5.744 4.281
Rb 2.967 1.942 1.447
Sb 11.510 7.532 5.613
Sb 5.700 3.730 2.779
Te 3.226 5.909 1.677
Te 4.312 1.637 5.183
Te 6.706 1.776 0.087
Te 6.879 5.686 1.102
Te 7.965 2.207 3.544
Te 5.211 5.230 5.134

[5]
10
Lattice="3.389 0.000 0.000 0.000 3.389 0.000 0.000 0.000 19.655" Properties=species:S:1:pos:R:3 comment="MgSc4In5, relaxed, DFT PBE-GGA" dos_at_fermi_per_ev_cell=7.48 e_tot_ev_per_cell=-44.08 pbc="T T T"
Mg 0.000 0.000 0.000
Sc 0.000 0.000 3.871
Sc 0.000 0.000 7.854
Sc 0.000 0.000 11.801
Sc 0.000 0.000 15.785
In 1.694 1.694 1.897
In 1.694 1.694 5.855
In 1.694 1.694 9.828
In 1.694 1.694 13.800
In 1.694 1.694 17.758

[6]
18
Lattice="-3.756 -4.546 2.539 1.012 -5.688 -8.686 8.511 -1.423 1.923" Properties=species:S:1:pos:R:3 comment="Na2Tl4In3, relaxed, DFT PBE-GGA" relative_energy_mev_per_atom=53 dos_at_fermi_per_ev_cell=9.09 e_tot_ev_per_cell=-40.93 pbc="T T T"
Na 1.975 -3.935 -4.123
Na 3.791 -7.722 -0.100
Na 5.271 -3.210 2.050
Na 0.496 -8.447 -6.273
Tl 5.928 -8.807 -2.939
Tl -2.040 -5.123 -0.015
Tl -0.162 -2.850 -1.284
Tl 7.806 -6.534 -4.208
Tl 3.489 -6.991 -7.354
Tl 2.277 -4.666 3.131
Tl 4.630 -5.065 -2.218
Tl 1.136 -6.593 -2.005
In 0.000 0.000 0.000
In -1.372 -5.117 -3.073
In 3.427 -7.413 -4.143
In 0.461 -6.517 1.190
In 2.339 -4.244 -0.080
In 5.305 -5.140 -5.412

[7]
4
Lattice="-0.864 -0.976 -4.921 -3.610 -3.330 -1.339 -4.284 1.641 -2.207" Properties=species:S:1:pos:R:3 comment="TmScHg2, relaxed, DFT PBE-GGA" relative_energy_mev_per_atom=2 dos_at_fermi_per_ev_cell=3.72 e_tot_ev_per_cell=-13.19 pbc="T T T"
Sc 0.000 0.000 0.000
Tm -4.379 -1.333 -4.233
Hg -6.569 -1.999 -6.350
Hg -2.190 -0.666 -2.117

[8]
5
Lattice="4.891 0.000 0.000 0.000 5.031 0.000 -2.445 -2.515 6.355" Properties=species:S:1:pos:R:3 comment="RbHg2PbAu, relaxed, DFT PBE-GGA" relative_energy_mev_per_atom=0 dos_at_fermi_per_ev_cell=1.26 e_tot_ev_per_cell=-9.43 pbc="T T T"
Rb 0.000 0.000 5.604
Hg 2.445 0.000 2.564
Hg 0.000 0.000 0.593
Pb 0.000 2.515 2.528
Au 2.445 2.515 4.116

[9]
10
Lattice="4.263 0.000 0.000 0.000 7.788 0.000 0.000 0.000 7.788" Properties=species:S:1:pos:R:3 comment="Ce2SmGe2, relaxed, DFT PBE-GGA" relative_energy_mev_per_atom=0 dos_at_fermi_per_ev_cell=25.44 e_tot_ev_per_cell=-58.29 pbc="T T T"
Ce 2.132 1.351 5.245
Ce 2.132 5.245 6.437
Ce 2.132 6.437 2.543
Ce 2.132 2.543 1.351
Sm 0.000 0.000 0.000
Sm 0.000 3.894 3.894
Ge 0.000 2.926 6.820
Ge 0.000 6.820 4.863
Ge 0.000 4.863 0.968
Ge 0.000 0.968 2.926

[10]
4
Lattice="-0.271 1.528 4.978 -0.914 -5.061 -0.862 3.143 -0.630 0.364" Properties=species:S:1:pos:R:3 comment="MnCd2As, relaxed, DFT PBE-GGA" dos_at_fermi_per_ev_cell=2.17 e_tot_ev_per_cell=-14.74 pbc="T T T"
As 1.114 -2.845 -0.249
Cd 0.000 0.000 0.000
Cd -0.593 -1.766 2.058
Mn 1.436 0.449 2.671

[11]
14
Lattice="8.713 1.905 1.400 4.571 7.659 1.400 5.898 4.246 11.829" Properties=species:S:1:pos:R:3 comment="SrCa5Pr, relaxed, DFT PBE-GGA" dos_at_fermi_per_ev_cell=19.54 e_tot_ev_per_cell=-30.38 pbc="T T T"
Sr 9.140 4.422 4.358
Sr 10.042 9.388 10.272
Ca 10.416 7.559 2.689
Ca 8.133 5.830 8.350
Ca 13.422 9.603 8.604
Ca 7.065 7.305 4.358
Ca 14.022 10.070 12.195
Ca 5.160 3.740 2.435
Ca 12.118 6.505 10.272
Ca 5.760 4.207 6.027
Ca 11.049 7.980 6.280
Ca 8.766 6.251 11.941
Pr 0.000 0.000 0.000
Pr 2.949 2.123 5.915

[12]
6
Lattice="5.752 0.008 -0.259 2.856 4.981 -0.440 0.299 0.417 6.664" Properties=species:S:1:pos:R:3 comment="CaPrPa, relaxed, DFT PBE-GGA" dos_at_fermi_per_ev_cell=12.79 e_tot_ev_per_cell=-29.81 pbc="T T T"
Ca 6.054 5.245 4.202
Ca 3.185 3.582 4.439
Pr 5.908 5.037 0.870
Pr 3.039 3.374 1.107
Pa 6.008 1.841 3.045
Pa 6.130 2.012 5.778

[13]
3
Lattice="-2.228 -1.006 1.047 0.342 0.011 -2.637 2.747 -5.740 0.331" Properties=species:S:1:pos:R:3 comment="MnCuIr, relaxed, DFT PBE-GGA" relative_energy_mev_per_atom=71 dos_at_fermi_per_ev_cell=3.17 e_tot_ev_per_cell=-21.90 pbc="T T T"
Cu 2.723 -5.690 0.328
Ir -0.426 -2.643 -0.067
Mn 1.311 -4.143 -1.189

[14]
4
Lattice="4.434 0.000 0.000 0.000 4.416 0.000 0.000 0.000 4.416" Properties=species:S:1:pos:R:3 comment="TmIn2Cu, relaxed, DFT PBE-GGA" dos_at_fermi_per_ev_cell=2.82 e_tot_ev_per_cell=-14.93 pbc="T T T"
Tm 2.217 2.208 2.208
Cu 2.217 0.000 0.000
In 0.000 0.000 2.208
In 0.000 2.208 0.000

[15]
4
Lattice="-3.960 -0.869 1.319 3.303 -0.603 2.628 0.782 8.288 0.919" Properties=species:S:1:pos:R:3 comment="KPuSeBr, relaxed, DFT PBE-GGA" dos_at_fermi_per_ev_cell=8.80 formation_energy_uncorrected_ev_per_atom=-1.3802 e_tot_ev_per_cell=-26.11 pbc="T T T"
K -0.952 4.768 1.585
Pu 2.763 0.081 2.758
Se 1.268 6.849 2.731
Br -2.267 1.769 2.550

[16]
12
Lattice="5.251 0.000 0.000 2.626 4.548 0.000 2.626 1.516 8.856" Properties=species:S:1:pos:R:3 comment="Pm2MgRh9, relaxed, DFT PBE-GGA" dos_at_fermi_per_ev_cell=13.07 e_tot_ev_per_cell=-81.42 pbc="T T T"
Pm 7.877 4.548 3.631
Pm 2.626 1.516 5.225
Mg 0.000 0.000 0.000
Rh 7.877 4.548 8.844
Rh 2.626 1.516 0.012
Rh 5.251 3.032 4.428
Rh 3.941 2.275 2.158
Rh 6.561 2.275 2.158
Rh 5.251 4.545 2.158
Rh 6.561 3.788 6.698
Rh 5.251 1.519 6.698
Rh 3.941 3.788 6.698

[17]
4
Lattice="5.683 0.000 0.000 2.841 4.921 0.000 2.841 1.640 4.640" Properties=species:S:1:pos:R:3 comment="Ba2ZnSe, relaxed, DFT PBE-GGA" relative_energy_mev_per_atom=637 dos_at_fermi_per_ev_cell=5.23 formation_energy_uncorrected_ev_per_atom=-0.3124 e_tot_ev_per_cell=-9.85 pbc="T T T"
Ba 0.000 0.000 0.000
Ba 2.841 1.640 1.160
Se 5.683 3.281 2.320
Zn 8.524 4.921 3.480

[18]
4
Lattice="-2.878 -0.237 0.886 -0.736 -1.148 -2.695 1.306 -6.633 2.469" Properties=species:S:1:pos:R:3 comment="LuAl2Co, relaxed, DFT PBE-GGA" dos_at_fermi_per_ev_cell=2.54 e_tot_ev_per_cell=-20.68 pbc="T T T"
Lu -1.154 -4.009 0.330
Co -1.807 -0.692 -0.905
Al 1.061 -5.391 2.006
Al 0.245 -1.242 0.462

[19]
20
Lattice="6.979 0.000 0.000 -2.326 6.580 0.000 -2.326 -3.290 5.699" Properties=species:S:1:pos:R:3 comment="Sr4Ti3CdO12, relaxed, DFT PBE-GGA" dos_at_fermi_per_ev_cell=15.02 formation_energy_uncorrected_ev_per_atom=-2.6322 e_tot_ev_per_cell=-143.47 pbc="T T T"
Sr 1.163 1.645 2.849
Sr -1.163 -1.645 2.849
Sr 3.490 0.000 0.000
Sr -1.163 3.290 0.000
Ti 2.326 -1.645 2.849
Ti 2.326 3.290 0.000
Ti -2.326 1.645 2.849
Cd 0.000 0.000 0.000
O -1.163 0.823 4.274
O 3.412 -2.413 4.179
O 1.240 -0.877 1.519
O 3.490 2.468 1.425
O 3.412 4.826 0.000
O 1.240 1.754 0.000
O 3.490 0.000 2.849
O -1.163 3.290 2.849
O 1.163 -0.823 4.274
O -3.412 2.413 4.179
O 1.163 4.113 1.425
O -1.240 0.877 1.519

[20]
16
Lattice="-4.063 -1.724 0.600 1.633 -2.815 2.970 0.532 6.370 5.744" Properties=species:S:1:pos:R:3 comment="AlB2W, relaxed, DFT PBE-GGA" dos_at_fermi_per_ev_cell=2.91 e_tot_ev_per_cell=-121.70 pbc="T T T"
Al -2.491 0.725 6.149
Al 0.593 1.106 3.166
Al -0.760 2.719 7.087
Al -1.137 -0.888 2.228
B -2.988 -2.230 1.956
B 1.091 4.060 7.358
B -1.627 0.739 4.021
B -0.270 1.092 5.293
B -1.691 4.589 6.160
B -0.207 -2.759 3.155
B -3.166 1.621 4.157
B 1.268 0.210 5.157
W -0.614 -1.156 4.954
W -1.283 2.986 4.361
W -2.360 -3.165 4.009
W 0.462 4.995 5.305

[21]
6
Lattice="-2.097 -1.799 -2.349 2.950 -1.045 -1.833 0.719 -9.202 6.403" Properties=species:S:1:pos:R:3 comment="Tb3TlGa2, relaxed, DFT PBE-GGA" dos_at_fermi_per_ev_cell=2.79 e_tot_ev_per_cell=-25.35 pbc="T T T"
Tb 0.000 0.000 0.000
Tb 0.492 -6.293 4.379
Tb 0.227 -2.908 2.024
Tl 0.786 -6.022 1.111
Ga 1.032 -9.162 3.295
Ga 0.541 -2.883 -1.074

[22]
12
Lattice="7.336 -0.001 0.001 -3.667 6.354 0.001 -1.223 -2.118 6.901" Properties=species:S:1:pos:R:3 comment="La3Ho2TmAs6, relaxed, DFT PBE-GGA" dos_at_fermi_per_ev_cell=1.38 e_tot_ev_per_cell=-74.71 pbc="T T T"
La -2.442 4.234 3.452
La 4.888 0.001 3.452
La 1.223 2.118 3.452
Ho 0.002 4.235 0.001
Ho 3.667 2.118 0.001
Tm 0.000 0.000 0.000
As 3.664 2.125 5.284
As 2.451 4.244 1.622
As -1.218 2.110 1.619
As 0.010 4.236 5.284
As -0.005 -0.008 5.281
As 2.436 0.000 1.619

[23]
4
Lattice="-3.954 0.781 3.752 0.249 -2.604 4.845 1.086 2.832 4.596" Properties=species:S:1:pos:R:3 comment="AcGdAlSn, relaxed, DFT PBE-GGA" dos_at_fermi_per_ev_cell=3.54 e_tot_ev_per_cell=-27.53 pbc="T T T"
Ac -0.655 0.252 3.298
Gd -1.964 0.757 9.894
Sn -1.310 0.504 6.596
Al 0.000 0.000 0.000